Entry 1:
A plane-wave DFT calculation with GGA-PBE was carried out for an optimized crystal structure of CaBiSe3.

The raw total energy comes out at -3.64 eV per atom. The uncorrected formation energy comes out at -0.37 eV per atom.

Cell and atoms, written as POSCAR:
```
CaBiSe3
1.0
5.476 0.000 0.000
0.000 5.476 0.000
0.000 0.000 5.476
Ca Bi Se
1 1 3
direct
0.000 0.000 0.000
0.500 0.500 0.500
0.000 0.500 0.500
0.500 0.000 0.500
0.500 0.500 0.000
```

***

Entry 2:
A plane-wave DFT calculation with GGA-PBE was carried out for an optimized crystal structure of Ca2Bi2Se.

The raw total energy comes out at -3.87 eV per atom. The uncorrected formation energy comes out at -0.82 eV per atom.

Cell and atoms, written as POSCAR:
```
Ca2Bi2Se
1.0
7.880 0.000 0.000
0.000 7.880 0.000
0.000 0.000 5.090
Ca Bi Se
4 4 2
direct
0.176 0.324 0.000
0.324 0.824 0.000
0.676 0.176 0.000
0.824 0.676 0.000
0.131 0.631 0.500
0.369 0.131 0.500
0.631 0.869 0.500
0.869 0.369 0.500
0.000 0.000 0.000
0.500 0.500 0.000
```

***

Entry 3:
A plane-wave DFT calculation with GGA-PBE was carried out for an optimized crystal structure of CaBi3Se6.

The raw total energy comes out at -4.07 eV per atom. The uncorrected formation energy comes out at -0.62 eV per atom.

Cell and atoms, written as POSCAR:
```
CaBi3Se6
1.0
12.401 0.000 0.000
0.000 4.133 0.000
-4.428 0.000 11.646
Ca Bi Se
2 6 12
direct
0.210 0.250 0.044
0.790 0.750 0.956
0.040 0.750 0.278
0.341 0.250 0.439
0.395 0.750 0.846
0.605 0.250 0.154
0.659 0.750 0.561
0.960 0.250 0.722
0.029 0.750 0.910
0.112 0.250 0.452
0.229 0.250 0.799
0.250 0.750 0.244
0.404 0.750 0.073
0.431 0.750 0.606
0.569 0.250 0.394
0.596 0.250 0.927
0.750 0.250 0.756
0.771 0.750 0.201
0.888 0.750 0.548
0.971 0.250 0.090
```

***

Entry 4:
A plane-wave DFT calculation with GGA-PBE was carried out for an optimized crystal structure of CaBi2Se.

The raw total energy comes out at -3.91 eV per atom. The uncorrected formation energy comes out at -0.60 eV per atom.

Cell and atoms, written as POSCAR:
```
CaBi2Se
1.0
-2.204 2.204 13.038
2.204 -2.204 13.038
2.204 2.204 -13.038
Ca Bi Se
2 4 2
direct
0.000 0.000 0.000
0.750 0.250 0.500
0.111 0.625 0.986
0.375 0.361 0.486
0.639 0.125 0.014
0.875 0.889 0.514
0.250 0.750 0.500
0.500 0.500 0.000
```

***

Entry 5:
A plane-wave DFT calculation with GGA-PBE was carried out for an optimized crystal structure of CaTl2BiSe4.

The raw total energy comes out at -3.82 eV per atom. The uncorrected formation energy comes out at -0.75 eV per atom.

Cell and atoms, written as POSCAR:
```
CaTl2BiSe4
1.0
7.499 0.000 0.000
0.000 4.293 0.000
-2.481 0.000 7.265
Ca Tl Bi Se
1 2 1 4
direct
0.000 0.000 0.000
0.000 0.500 0.500
0.500 0.000 0.500
0.500 0.500 0.000
0.242 0.500 0.224
0.258 0.000 0.775
0.742 0.000 0.225
0.758 0.500 0.776
```

***

Entry 6:
A plane-wave DFT calculation with GGA-PBE was carried out for an optimized crystal structure of CaTl3Bi2Se6.

The raw total energy comes out at -3.80 eV per atom. The uncorrected formation energy comes out at -0.66 eV per atom.

Cell and atoms, written as POSCAR:
```
CaTl3Bi2Se6
1.0
3.730 -6.462 0.000
3.730 6.462 0.000
-2.471 0.000 7.390
Ca Tl Bi Se
1 3 2 6
direct
0.000 0.000 0.000
0.164 0.836 0.500
0.500 0.500 0.500
0.836 0.164 0.500
0.333 0.667 0.000
0.667 0.333 0.000
0.074 0.410 0.223
0.263 0.263 0.781
0.410 0.074 0.223
0.590 0.926 0.777
0.737 0.737 0.219
0.926 0.590 0.777
```

***

Entry 7:
A plane-wave DFT calculation with GGA-PBE was carried out for an optimized crystal structure of Ca2ZnBiSe.

The raw total energy comes out at -3.24 eV per atom. The uncorrected formation energy comes out at -0.71 eV per atom.

Cell and atoms, written as POSCAR:
```
Ca2ZnBiSe
1.0
5.557 0.000 0.000
0.000 5.557 0.000
0.000 0.000 4.953
Ca Zn Bi Se
2 1 1 1
direct
0.000 0.500 0.000
0.500 0.000 0.000
0.000 0.000 0.500
0.500 0.500 0.500
0.000 0.000 0.000
```

***

Entry 8:
A plane-wave DFT calculation with GGA-PBE was carried out for an optimized crystal structure of CaSi2Bi.

As for the energy above the lowest structure with this stoichiometry: 74 meV/atom. The raw total energy comes out at -4.35 eV per atom. The uncorrected formation energy comes out at -0.17 eV per atom.

Cell and atoms, written as POSCAR:
```
CaSi2Bi
1.0
3.812 0.000 0.000
0.069 5.818 0.000
0.112 1.038 9.182
Ca Si Bi
2 4 2
direct
0.003 0.292 0.270
0.997 0.708 0.730
0.005 0.140 0.898
0.499 0.626 0.092
0.501 0.374 0.908
0.995 0.860 0.102
0.492 0.214 0.596
0.508 0.786 0.404
```